DFT (PBE-GGA) results for a geometry-optimized Hg4P2O7 structure.

The structure in CIF format:
```
data_Hg4P2O7
_cell_length_a 9.121
_cell_length_b 4.883
_cell_length_c 9.664
_cell_angle_alpha 90.00
_cell_angle_beta 98.93
_cell_angle_gamma 90.00
_symmetry_space_group_name_H-M 'P 1'
_symmetry_Int_Tables_number 1
loop_
_symmetry_equiv_pos_as_xyz
'x,y,z'
loop_
_atom_site_label
_atom_site_type_symbol
_atom_site_fract_x
_atom_site_fract_y
_atom_site_fract_z
Hg1 Hg 0.513 0.674 0.101
Hg2 Hg 0.184 0.440 0.122
Hg3 Hg 0.316 0.440 0.378
Hg4 Hg 0.987 0.674 0.399
Hg5 Hg 0.013 0.326 0.601
Hg6 Hg 0.684 0.560 0.622
Hg7 Hg 0.816 0.560 0.878
Hg8 Hg 0.487 0.326 0.899
O1 O 0.747 0.926 0.040
O2 O 0.913 0.353 0.078
O3 O 0.984 0.952 0.228
O4 O 0.750 0.236 0.250
O5 O 0.516 0.952 0.272
O6 O 0.587 0.353 0.422
O7 O 0.753 0.926 0.460
O8 O 0.247 0.074 0.540
O9 O 0.413 0.647 0.578
O10 O 0.484 0.048 0.728
O11 O 0.250 0.764 0.750
O12 O 0.016 0.048 0.772
O13 O 0.087 0.647 0.922
O14 O 0.253 0.074 0.960
P1 P 0.851 0.100 0.142
P2 P 0.649 0.100 0.358
P3 P 0.351 0.900 0.642
P4 P 0.149 0.900 0.858
```

## Properties
Space-group type: P2/c
DFT total energy (eV/atom): -4.934